A relaxed structure of PuPd4Au5, computed with PBE.

a = 7.0929 Å, b = 7.0929 Å, c = 5.8106 Å
α = 102.01°, β = 102.01°, γ = 39.00°
Positions (direct):
Pu1 0.0000 0.0000 0.0000
Pd1 0.2037 0.2037 0.3156
Pd2 0.3960 0.3960 0.1359
Pd3 0.6040 0.6040 0.8641
Pd4 0.7963 0.7963 0.6844
Au1 0.0000 0.0000 0.5000
Au2 0.2084 0.2084 0.8133
Au3 0.4010 0.4010 0.6296
Au4 0.5990 0.5990 0.3704
Au5 0.7916 0.7916 0.1867

Values from the calculation:
* uncorrected energy: -5.371 eV per atom
* calculated formation energy: -221.6 meV per atom
* SG: No. 12
* ρ: 15313 kg/m³
* volume: 17.94 A^3/atom